(1)
The following is a DFT calculation (PBE) of a geometry-optimized Al2CuP2 structure.

Cell lengths 6.700, 6.700, 3.449 Å; angles 90.00, 90.00, 90.00 degrees
Element x y z (fractional)
P (0.675, 0.175, 0.000)
P (0.175, 0.325, 0.000)
P (0.825, 0.675, 0.000)
P (0.325, 0.825, 0.000)
Al (0.359, 0.141, 0.500)
Al (0.141, 0.641, 0.500)
Al (0.859, 0.359, 0.500)
Al (0.641, 0.859, 0.500)
Cu (0.500, 0.500, 0.000)
Cu (0.000, 0.000, 0.000)

Properties
DFT formation energy   5 kJ/mol of formula units
Space-group type   P4/mbm (127)


(2)
The following is a DFT calculation (PBE) of a geometry-optimized AlCuP structure.

Cell lengths 4.474, 4.474, 4.474 Å; angles 135.62, 135.62, 64.57 degrees
Element x y z (fractional)
Cu (0.664, 0.664, 0.000)
P (0.343, 0.343, 0.000)
Al (0.993, 0.993, 0.000)

Properties
DFT formation energy   29 kJ/mol of formula units
Space-group type   I4mm (107)


(3)
The following is a DFT calculation (PBE) of a geometry-optimized AlCuP structure.

Cell lengths 5.737, 5.637, 2.848 Å; angles 77.47, 73.55, 28.98 degrees
Element x y z (fractional)
Al (0.001, 0.001, 0.999)
Cu (0.667, 0.667, 0.333)
P (0.332, 0.332, 0.668)

Properties
DFT formation energy   52 kJ/mol of formula units
Space-group type   Fmm2 (42)


(4)
The following is a DFT calculation (PBE) of a geometry-optimized AlCuP3 structure.

Cell lengths 4.493, 4.493, 4.493 Å; angles 90.00, 90.00, 90.00 degrees
Element x y z (fractional)
P (0.000, 0.500, 0.000)
P (0.000, 0.000, 0.500)
P (0.500, 0.000, 0.000)
Cu (0.000, 0.000, 0.000)
Al (0.500, 0.500, 0.500)

Properties
DFT formation energy   405 kJ/mol of formula units
Space-group type   Pm-3m (221)